[1]
This record from Alexandria describes an optimized crystal structure of Li3Ce2S5. The functional is PBE.

Cell: 3.8347 6.8062 8.3125 Å, 76.87 76.66 73.64°
Last column: magnetic moment on the atom in μB.
Element x y z (fractional)
S 0.8863 0.8081 0.4192  -0.03
S 0.3075 0.5925 0.7926  -0.02
S 0.6925 0.4075 0.2074  -0.02
S 0.1137 0.1919 0.5808  -0.03
S 0.0000 0.0000 0.0000  -0.02
Li 0.1281 0.6274 0.1165  0.00
Li 0.8719 0.3726 0.8835  0.00
Li 0.5000 0.5000 0.5000  0.00
Ce 0.6722 0.9140 0.7416  0.55
Ce 0.3278 0.0860 0.2584  0.55

Output
Magnetic moment: 1.04 Bohr magnetons per cell
Electronic total energy: -54.80 eV/cell
Uncorrected formation energy: -1.656 eV per atom
D(E_F): 9.267 states/eV/cell

***

[2]
This record from Alexandria describes an optimized crystal structure of Nd2TmCd2In2. The functional is PBE.

Cell: 4.9523 4.9523 9.6065 Å, 75.06 75.06 60.00°
Element x y z (fractional)
In 0.7363 0.7363 0.7910
In 0.2637 0.2637 0.2090
Nd 0.8730 0.8730 0.3811
Nd 0.1270 0.1270 0.6189
Tm 0.0000 0.0000 0.0000
Cd 0.6094 0.6094 0.1719
Cd 0.3906 0.3906 0.8281

Output
Magnetic moment: 0.00 Bohr magnetons per cell
Electronic total energy: -23.12 eV/cell
D(E_F): 4.769 states/eV/cell
ΔH_f (0 K): -25 kJ per mole of atoms

***

[3]
This record from Alexandria describes an optimized crystal structure of Pa2SCl8. The functional is PBE.

Cell: 8.3211 9.7545 9.7545 Å, 51.50 51.77 51.77°
Element x y z (fractional)
S 0.0000 0.0000 0.0000
Pa 0.3811 0.8091 0.8091
Pa 0.6189 0.1909 0.1909
Cl 0.2788 0.1735 0.5476
Cl 0.4167 0.1330 0.1330
Cl 0.7904 0.2642 0.2642
Cl 0.7212 0.8265 0.4524
Cl 0.2788 0.5476 0.1735
Cl 0.5833 0.8670 0.8670
Cl 0.7212 0.4524 0.8265
Cl 0.2096 0.7358 0.7358

Output
Magnetic moment: 0.07 Bohr magnetons per cell
Electronic total energy: -57.44 eV/cell
Uncorrected formation energy: -1.777 eV per atom

***

[4]
This record from Alexandria describes an optimized crystal structure of Rb5CaI6. The functional is PBE.

Cell: 9.2089 9.0863 9.0582 Å, 59.90 80.65 71.11°
Element x y z (fractional)
Rb 0.5000 0.1707 0.6586
Rb 0.5000 0.8293 0.3414
Rb 0.5000 0.5000 0.0000
Rb 0.0000 0.3340 0.3320
Rb 0.0000 0.6660 0.6680
I 0.7824 0.0728 0.2900
I 0.7824 0.3628 0.7100
I 0.7790 0.7841 0.0000
I 0.2176 0.9272 0.7100
I 0.2176 0.6372 0.2900
I 0.2210 0.2159 0.0000
Ca 0.0000 0.0000 0.0000

Output
Magnetic moment: 0.00 Bohr magnetons per cell
Electronic total energy: -32.64 eV/cell
Uncorrected formation energy: -1.375 eV per atom
D(E_F): 3.023 states/eV/cell

***

[5]
This record from Alexandria describes an optimized crystal structure of RbNa2SeO4. The functional is PBE.

Cell: 6.9560 6.9560 8.2236 Å, 126.22 126.22 74.48°
Last column: magnetic moment on the atom in μB.
Element x y z (fractional)
O 0.3205 0.7503 0.5356  0.08
O 0.9992 0.9997 0.2207  0.08
O 0.6795 0.2497 0.4644  0.08
O 0.7497 0.1795 0.9644  0.08
O 0.4997 0.4992 0.7207  0.08
O 0.2503 0.8205 0.0356  0.08
O 0.5003 0.5008 0.2793  0.08
O 0.0008 0.0003 0.7793  0.08
Rb 0.0000 0.5000 0.5000  0.00
Rb 0.0000 0.5000 0.0000  0.00
Na 0.5000 0.5000 0.0000  0.01
Na 0.5000 0.0000 0.5000  0.00
Na 0.5000 0.0000 0.0000  0.00
Na 0.0000 0.0000 0.5000  0.01
Se 0.0000 0.0000 0.0000  0.11
Se 0.5000 0.5000 0.5000  0.11

Output
Magnetic moment: 1.14 Bohr magnetons per cell
Electronic total energy: -69.75 eV/cell
Uncorrected formation energy: -0.994 eV per atom
D(E_F): 6.115 states/eV/cell

***

[6]
This record from Alexandria describes an optimized crystal structure of SiPS2. The functional is PBE.

Cell: 5.5145 9.4427 7.1667 Å, 90.00 90.00 90.00°
Element x y z (fractional)
P 0.0535 0.9519 0.5653
P 0.5535 0.0481 0.4347
P 0.5535 0.5481 0.0653
P 0.0535 0.4519 0.9347
S 0.6019 0.5332 0.6176
S 0.1037 0.7641 0.7279
S 0.6037 0.2359 0.2721
S 0.6019 0.0332 0.8824
S 0.6037 0.7359 0.2279
S 0.1019 0.9668 0.1176
S 0.1037 0.2641 0.7721
S 0.1019 0.4668 0.3824
Si 0.4907 0.9448 0.1444
Si 0.9907 0.5552 0.6444
Si 0.9907 0.0552 0.8556
Si 0.4907 0.4448 0.3556

Output
Magnetic moment: 0.00 Bohr magnetons per cell
Polymorph energy (0 for the lowest one): 0 meV/atom
Electronic total energy: -78.67 eV/cell
Uncorrected formation energy: -0.145 eV per atom
D(E_F): 1.295 states/eV/cell

***

[7]
This record from Alexandria describes an optimized crystal structure of Li2CdH. The functional is PBE.

Cell: 2.9612 2.9612 7.4648 Å, 78.37 78.37 61.07°
Element x y z (fractional)
Cd 0.5079 0.5079 0.5005
Li 0.0437 0.0437 0.8405
Li 0.2835 0.2835 0.1560
H 0.6648 0.6648 0.0030

Output
Magnetic moment: 0.00 Bohr magnetons per cell
Polymorph energy (0 for the lowest one): 1 meV/atom
Electronic total energy: -9.09 eV/cell
D(E_F): 0.961 states/eV/cell

***

[8]
This record from Alexandria describes an optimized crystal structure of K4In3Au5. The functional is PBE.

Cell: 5.1972 6.6588 11.5731 Å, 85.07 77.02 67.03°
Element x y z (fractional)
Au 0.5663 0.9957 0.8718
Au 0.0000 0.5000 0.5000
Au 0.5823 0.5935 0.2419
Au 0.4337 0.0043 0.1282
Au 0.4177 0.4065 0.7581
K 0.8430 0.9717 0.3422
K 0.1446 0.7114 0.9994
K 0.8554 0.2886 0.0006
K 0.1570 0.0283 0.6578
In 0.1738 0.3922 0.2603
In 0.5000 0.5000 0.5000
In 0.8262 0.6078 0.7397

Output
Magnetic moment: 0.00 Bohr magnetons per cell
Electronic total energy: -32.33 eV/cell
D(E_F): 3.406 states/eV/cell
ΔH_f (0 K): -27 kJ per mole of atoms